Te2Br, optimized geometry, DFT GGA-PBE; energy above the most stable polymorph in this dataset = 76 meV/atom; formation energy (no corrections) = -0.083 eV/atom; SG = No. 12; calculated volume = 450 Å³/cell
1.0
13.866 0.000 0.000
0.000 4.025 0.000
-0.198 0.000 8.055
Te Br
8 4
direct
0.049 0.000 0.298
0.192 0.500 0.332
0.308 0.000 0.668
0.451 0.500 0.702
0.549 0.500 0.298
0.692 0.000 0.332
0.808 0.500 0.668
0.951 0.000 0.702
0.108 0.500 0.783
0.392 0.000 0.217
0.608 0.000 0.783
0.892 0.500 0.217

Te2Br, optimized geometry, DFT GGA-PBE; energy above the most stable polymorph in this dataset = 190 meV/atom; formation energy (no corrections) = 0.031 eV/atom; SG = No. 12; calculated volume = 415 Å³/cell
1.0
11.428 0.000 0.000
0.000 3.888 0.000
-5.167 0.000 9.340
Te Br
8 4
direct
0.141 0.000 0.017
0.220 0.500 0.693
0.280 0.000 0.307
0.359 0.500 0.983
0.641 0.500 0.017
0.720 0.000 0.693
0.780 0.500 0.307
0.859 0.000 0.983
0.042 0.500 0.330
0.458 0.000 0.670
0.542 0.000 0.330
0.958 0.500 0.670

TeBr2, optimized geometry, DFT GGA-PBE; energy above the most stable polymorph in this dataset = 270 meV/atom; formation energy (no corrections) = 0.001 eV/atom; SG = No. 71; calculated volume = 238 Å³/cell
1.0
3.141 0.000 0.000
0.000 8.239 0.000
0.000 0.000 9.183
Te Br
2 4
direct
0.000 0.000 0.000
0.500 0.500 0.500
0.000 0.000 0.292
0.000 0.000 0.708
0.500 0.500 0.208
0.500 0.500 0.792

TeBr3, optimized geometry, DFT GGA-PBE; energy above the most stable polymorph in this dataset = 581 meV/atom; formation energy (no corrections) = 0.268 eV/atom; SG = No. 187; calculated volume = 114 Å³/cell
1.0
3.674 0.000 0.000
-1.837 3.182 0.000
0.000 0.000 9.756
Te Br
1 3
direct
0.000 0.000 0.000
0.000 0.000 0.500
0.333 0.667 0.220
0.333 0.667 0.780

Te2Br, optimized geometry, DFT GGA-PBE; energy above the most stable polymorph in this dataset = 74 meV/atom; formation energy (no corrections) = -0.086 eV/atom; SG = No. 12; calculated volume = 424 Å³/cell
1.0
14.399 0.000 0.000
0.000 4.019 0.000
-2.568 0.000 7.324
Te Br
8 4
direct
0.038 0.000 0.244
0.185 0.500 0.294
0.315 0.000 0.706
0.462 0.500 0.756
0.538 0.500 0.244
0.685 0.000 0.294
0.815 0.500 0.706
0.962 0.000 0.756
0.123 0.500 0.797
0.377 0.000 0.203
0.623 0.000 0.797
0.877 0.500 0.203

TeBr3, optimized geometry, DFT GGA-PBE; energy above the most stable polymorph in this dataset = 59 meV/atom; formation energy (no corrections) = -0.254 eV/atom; SG = No. 221; calculated volume = 175 Å³/cell
1.0
5.591 0.000 0.000
0.000 5.591 0.000
0.000 0.000 5.591
Te Br
1 3
direct
0.000 0.000 0.000
0.000 0.000 0.500
0.000 0.500 0.000
0.500 0.000 0.000

TeBr2, optimized geometry, DFT GGA-PBE; energy above the most stable polymorph in this dataset = 363 meV/atom; formation energy (no corrections) = 0.095 eV/atom; SG = No. 164; calculated volume = 112 Å³/cell
1.0
4.751 0.000 0.000
-2.376 4.115 0.000
0.000 0.000 5.712
Te Br
1 2
direct
0.000 0.000 0.000
0.333 0.667 0.217
0.667 0.333 0.783

Te2Br3, optimized geometry, DFT GGA-PBE; energy above the most stable polymorph in this dataset = 199 meV/atom; formation energy (no corrections) = 0.204 eV/atom; SG = No. 166; calculated volume = 525 Å³/cell
1.0
4.862 0.000 0.000
-2.431 4.211 0.000
0.000 0.000 25.630
Te Br
6 9
direct
0.000 0.000 0.104
0.000 0.000 0.896
0.333 0.667 0.563
0.333 0.667 0.770
0.667 0.333 0.230
0.667 0.333 0.437
0.000 0.000 0.265
0.000 0.000 0.500
0.000 0.000 0.735
0.333 0.667 0.167
0.333 0.667 0.401
0.333 0.667 0.932
0.667 0.333 0.068
0.667 0.333 0.599
0.667 0.333 0.833

TeBr3, optimized geometry, DFT GGA-PBE; energy above the most stable polymorph in this dataset = 326 meV/atom; formation energy (no corrections) = 0.013 eV/atom; SG = No. 10; calculated volume = 132 Å³/cell
1.0
3.535 0.000 0.000
0.000 4.064 0.000
-0.355 0.000 9.216
Te Br
1 3
direct
0.000 0.000 0.000
0.000 0.000 0.500
0.012 0.500 0.211
0.988 0.500 0.789

TeBr3, optimized geometry, DFT GGA-PBE; energy above the most stable polymorph in this dataset = 19 meV/atom; formation energy (no corrections) = -0.295 eV/atom; SG = No. 2; calculated volume = 314 Å³/cell
1.0
5.951 0.000 0.000
-2.844 6.731 0.000
-1.174 -1.249 7.841
Te Br
2 6
direct
0.097 0.325 0.450
0.903 0.675 0.550
0.177 0.895 0.352
0.226 0.807 0.829
0.468 0.539 0.268
0.532 0.461 0.732
0.774 0.193 0.171
0.823 0.105 0.648

TeBr2, optimized geometry, DFT GGA-PBE; energy above the most stable polymorph in this dataset = 1039 meV/atom; formation energy (no corrections) = 0.771 eV/atom; SG = No. 227; calculated volume = 169 Å³/cell
1.0
0.000 4.391 4.391
4.391 0.000 4.391
4.391 4.391 0.000
Te Br
2 4
direct
0.125 0.125 0.125
0.875 0.875 0.875
0.000 0.500 0.500
0.500 0.000 0.500
0.500 0.500 0.000
0.500 0.500 0.500

TeBr3, optimized geometry, DFT GGA-PBE; energy above the most stable polymorph in this dataset = 88 meV/atom; formation energy (no corrections) = -0.225 eV/atom; SG = No. 1; calculated volume = 183 Å³/cell
1.0
4.613 0.000 0.000
1.764 6.277 0.000
0.462 2.707 6.317
Te Br
1 3
direct
0.000 0.000 0.000
0.360 0.189 0.707
0.652 0.767 0.287
0.857 0.330 0.119

TeBr3, optimized geometry, DFT GGA-PBE; energy above the most stable polymorph in this dataset = 753 meV/atom; formation energy (no corrections) = 0.440 eV/atom; SG = No. 65; calculated volume = 211 Å³/cell
1.0
6.680 0.000 0.000
0.000 8.738 0.000
0.000 0.000 3.608
Te Br
2 6
direct
0.000 0.000 0.000
0.500 0.500 0.000
0.000 0.500 0.000
0.250 0.250 0.500
0.250 0.750 0.500
0.500 0.000 0.000
0.750 0.250 0.500
0.750 0.750 0.500

TeBr2, optimized geometry, DFT GGA-PBE; energy above the most stable polymorph in this dataset = 613 meV/atom; formation energy (no corrections) = 0.345 eV/atom; SG = No. 194; calculated volume = 413 Å³/cell
1.0
6.819 0.000 0.000
-3.409 5.905 0.000
0.000 0.000 10.257
Te Br
4 8
direct
0.333 0.667 0.050
0.333 0.667 0.450
0.667 0.333 0.550
0.667 0.333 0.950
0.000 0.000 0.000
0.000 0.000 0.500
0.167 0.333 0.250
0.167 0.833 0.250
0.333 0.167 0.750
0.667 0.833 0.250
0.833 0.167 0.750
0.833 0.667 0.750

TeBr3, optimized geometry, DFT GGA-PBE; energy above the most stable polymorph in this dataset = 463 meV/atom; formation energy (no corrections) = 0.149 eV/atom; SG = No. 25; calculated volume = 127 Å³/cell
1.0
3.348 0.000 0.000
0.000 4.191 0.000
0.000 0.000 9.074
Te Br
1 3
direct
0.000 0.000 0.000
0.000 0.500 0.803
0.500 0.000 0.565
0.500 0.500 0.186

Te4Br, optimized geometry, DFT GGA-PBE; energy above the most stable polymorph in this dataset = 831 meV/atom; formation energy (no corrections) = 0.919 eV/atom; SG = No. 221; calculated volume = 178 Å³/cell
1.0
5.623 0.000 0.000
0.000 5.623 0.000
0.000 0.000 5.623
Te Br
4 1
direct
0.000 0.000 0.000
0.000 0.500 0.500
0.500 0.000 0.500
0.500 0.500 0.000
0.500 0.500 0.500

TeBr2, optimized geometry, DFT GGA-PBE; energy above the most stable polymorph in this dataset = 102 meV/atom; formation energy (no corrections) = -0.167 eV/atom; SG = No. 1; calculated volume = 133 Å³/cell
1.0
4.687 0.000 0.000
0.005 5.345 0.000
0.605 0.000 5.310
Te Br
1 2
direct
0.000 0.000 0.000
0.160 0.000 0.487
0.841 0.498 0.016

TeBr3, optimized geometry, DFT GGA-PBE; energy above the most stable polymorph in this dataset = 693 meV/atom; formation energy (no corrections) = 0.379 eV/atom; SG = No. 225; calculated volume = 420 Å³/cell
1.0
7.492 0.000 0.000
0.000 7.492 0.000
0.000 0.000 7.492
Te Br
4 12
direct
0.000 0.000 0.000
0.000 0.500 0.500
0.500 0.000 0.500
0.500 0.500 0.000
0.000 0.000 0.500
0.000 0.500 0.000
0.250 0.250 0.250
0.250 0.250 0.750
0.250 0.750 0.250
0.250 0.750 0.750
0.500 0.000 0.000
0.500 0.500 0.500
0.750 0.250 0.250
0.750 0.250 0.750
0.750 0.750 0.250
0.750 0.750 0.750

TeBr3, optimized geometry, DFT GGA-PBE; energy above the most stable polymorph in this dataset = 22 meV/atom; formation energy (no corrections) = -0.291 eV/atom; SG = No. 1; calculated volume = 360 Å³/cell
1.0
7.172 0.000 0.000
-3.195 7.138 0.000
-2.854 -2.854 7.025
Te Br
2 6
direct
0.000 0.000 0.000
0.312 0.696 0.538
0.142 0.850 0.752
0.199 0.815 0.219
0.369 0.344 0.160
0.531 0.599 0.813
0.759 0.110 0.746
0.946 0.348 0.375

Te2Br, optimized geometry, DFT GGA-PBE; energy above the most stable polymorph in this dataset = 535 meV/atom; formation energy (no corrections) = 0.376 eV/atom; SG = No. 194; calculated volume = 171 Å³/cell
1.0
5.196 0.000 0.000
-2.598 4.500 0.000
0.000 0.000 7.320
Te Br
4 2
direct
0.000 0.000 0.000
0.000 0.000 0.500
0.333 0.667 0.250
0.667 0.333 0.750
0.333 0.667 0.750
0.667 0.333 0.250